[1]
Below is a geometry-optimized Dy5Zr12Ga3 structure, with properties calculated at the PBE level.

a b c (Å): 14.628 14.628 14.628
angles (deg): 109.47 109.47 109.47
Fractional coordinates of all 80 atoms:
Ga  0.750  0.375  0.125
Ga  0.875  0.750  0.125
Ga  0.375  0.750  0.625
Ga  0.250  0.125  0.375
Ga  0.875  0.125  0.250
Ga  0.375  0.625  0.250
Ga  0.625  0.375  0.750
Ga  0.125  0.875  0.750
Ga  0.750  0.875  0.625
Ga  0.625  0.250  0.375
Ga  0.125  0.250  0.875
Ga  0.250  0.625  0.875
Dy  0.125  0.375  0.250
Dy  0.000  0.500  0.000
Dy  0.000  0.000  0.000
Dy  0.375  0.250  0.125
Dy  0.500  0.000  0.500
Dy  0.500  0.500  0.000
Dy  0.125  0.750  0.375
Dy  0.750  0.125  0.875
Dy  0.750  0.625  0.375
Dy  0.375  0.125  0.750
Dy  0.625  0.875  0.250
Dy  0.500  0.500  0.500
Dy  0.500  0.000  0.000
Dy  0.000  0.000  0.500
Dy  0.250  0.375  0.625
Dy  0.250  0.875  0.125
Dy  0.000  0.500  0.500
Dy  0.875  0.250  0.625
Dy  0.625  0.750  0.875
Dy  0.875  0.625  0.750
Zr  0.735  0.146  0.086
Zr  0.351  0.586  0.440
Zr  0.914  0.354  0.265
Zr  0.586  0.235  0.146
Zr  0.589  0.735  0.649
Zr  0.914  0.560  0.149
Zr  0.351  0.765  0.411
Zr  0.060  0.911  0.146
Zr  0.560  0.914  0.649
Zr  0.735  0.589  0.149
Zr  0.765  0.414  0.354
Zr  0.851  0.940  0.086
Zr  0.146  0.735  0.586
Zr  0.354  0.440  0.089
Zr  0.089  0.940  0.354
Zr  0.411  0.146  0.560
Zr  0.089  0.149  0.235
Zr  0.414  0.649  0.060
Zr  0.851  0.911  0.265
Zr  0.146  0.411  0.060
Zr  0.354  0.914  0.765
Zr  0.560  0.646  0.411
Zr  0.940  0.851  0.586
Zr  0.765  0.351  0.911
Zr  0.440  0.354  0.589
Zr  0.060  0.149  0.414
Zr  0.235  0.649  0.089
Zr  0.149  0.089  0.735
Zr  0.646  0.086  0.235
Zr  0.854  0.589  0.940
Zr  0.586  0.351  0.940
Zr  0.589  0.854  0.440
Zr  0.911  0.851  0.765
Zr  0.911  0.060  0.646
Zr  0.854  0.265  0.414
Zr  0.149  0.060  0.914
Zr  0.646  0.560  0.911
Zr  0.440  0.086  0.351
Zr  0.265  0.411  0.851
Zr  0.235  0.586  0.646
Zr  0.940  0.089  0.854
Zr  0.649  0.235  0.589
Zr  0.414  0.765  0.854
Zr  0.086  0.440  0.851
Zr  0.411  0.265  0.351
Zr  0.086  0.646  0.735
Zr  0.649  0.414  0.560
Zr  0.265  0.854  0.914

Output
Total energy, eV/atom: -5.793
Fermi-level density of states, states/eV per atom: 1.392
Symmetry: Ia-3d



[2]
Below is a geometry-optimized DyZr2Ga structure, with properties calculated at the PBE level.

a b c (Å): 3.236 3.236 8.729
angles (deg): 90.00 90.00 90.00
Fractional coordinates of all 4 atoms:
Ga  0.500  0.500  0.000
Zr  0.000  0.000  0.788
Zr  0.000  0.000  0.212
Dy  0.500  0.500  0.500

Output
Total energy, eV/atom: -6.351
Fermi-level density of states, states/eV per atom: 1.223
Symmetry: P4/mmm



[3]
Below is a geometry-optimized GdDy3 structure, with properties calculated at the PBE level.

a b c (Å): 5.665 5.665 5.665
angles (deg): 60.00 60.00 60.00
Site moments in Bohr magnetons follow the coordinates.
Fractional coordinates of all 4 atoms:
Gd  0.500  0.500  0.500  7.36
Dy  0.000  0.000  0.000  0.26
Dy  0.750  0.750  0.750  0.29
Dy  0.250  0.250  0.250  0.29

Output
Total energy, eV/atom: -6.849
Fermi-level density of states, states/eV per atom: 1.957
Symmetry: Fm-3m



[4]
Below is a geometry-optimized GdDy3 structure, with properties calculated at the PBE level.

a b c (Å): 3.615 6.267 6.739
angles (deg): 117.71 105.56 90.00
Site moments in Bohr magnetons follow the coordinates.
Fractional coordinates of all 4 atoms:
Gd  0.000  0.999  0.000  7.27
Dy  0.248  0.581  0.495  0.09
Dy  0.500  0.501  0.000  0.09
Dy  0.752  0.086  0.505  0.09

Output
Total energy, eV/atom: -6.965
Fermi-level density of states, states/eV per atom: 1.867
Symmetry: Imm2



[5]
Below is a geometry-optimized GdDy structure, with properties calculated at the PBE level.

a b c (Å): 3.611 3.611 5.739
angles (deg): 90.00 90.00 120.00
Site moments in Bohr magnetons follow the coordinates.
Fractional coordinates of all 2 atoms:
Gd  0.000  0.000  0.500  7.24
Dy  0.333  0.667  0.000  0.10

Output
Total energy, eV/atom: -9.335
Fermi-level density of states, states/eV per atom: 1.865
Symmetry: P-6m2



[6]
Below is a geometry-optimized GdDy3 structure, with properties calculated at the PBE level.

a b c (Å): 5.020 5.020 5.020
angles (deg): 90.00 90.00 90.00
Site moments in Bohr magnetons follow the coordinates.
Fractional coordinates of all 4 atoms:
Gd  0.000  0.000  0.000  7.14
Dy  0.000  0.500  0.500  -0.06
Dy  0.500  0.000  0.500  -0.06
Dy  0.500  0.500  0.000  -0.06

Output
Total energy, eV/atom: -6.953
Fermi-level density of states, states/eV per atom: 1.652
Symmetry: Pm-3m



[7]
Below is a geometry-optimized GdDy3 structure, with properties calculated at the PBE level.

a b c (Å): 5.023 5.023 6.148
angles (deg): 114.11 114.11 90.00
Site moments in Bohr magnetons follow the coordinates.
Fractional coordinates of all 4 atoms:
Gd  0.000  0.000  0.000  7.17
Dy  0.750  0.250  0.500  -0.03
Dy  0.250  0.750  0.500  -0.03
Dy  0.500  0.500  0.000  -0.05

Output
Total energy, eV/atom: -6.956
Fermi-level density of states, states/eV per atom: 1.574
Symmetry: I4/mmm



[8]
Below is a geometry-optimized GdDy2 structure, with properties calculated at the PBE level.

a b c (Å): 6.580 6.580 6.580
angles (deg): 60.00 60.00 60.00
Site moments in Bohr magnetons follow the coordinates.
Fractional coordinates of all 6 atoms:
Gd  0.000  0.000  0.000  7.30
Gd  0.250  0.250  0.250  7.30
Dy  0.125  0.625  0.625  0.11
Dy  0.625  0.125  0.625  0.11
Dy  0.625  0.625  0.625  0.11
Dy  0.625  0.625  0.125  0.11

Output
Total energy, eV/atom: -7.516
Fermi-level density of states, states/eV per atom: 2.609
Symmetry: Fd-3m



[9]
Below is a geometry-optimized GdDy structure, with properties calculated at the PBE level.

a b c (Å): 4.010 4.010 4.010
angles (deg): 90.00 90.00 90.00
Site moments in Bohr magnetons follow the coordinates.
Fractional coordinates of all 2 atoms:
Gd  0.500  0.500  0.500  7.28
Dy  0.000  0.000  0.000  0.24

Output
Total energy, eV/atom: -9.239
Fermi-level density of states, states/eV per atom: 1.876
Symmetry: Pm-3m



[10]
Below is a geometry-optimized GdDy2 structure, with properties calculated at the PBE level.

a b c (Å): 3.561 3.561 7.930
angles (deg): 102.98 102.98 90.00
Site moments in Bohr magnetons follow the coordinates.
Fractional coordinates of all 3 atoms:
Gd  0.000  0.000  0.000  7.19
Dy  0.668  0.668  0.336  -0.07
Dy  0.332  0.332  0.664  -0.07

Output
Total energy, eV/atom: -7.741
Fermi-level density of states, states/eV per atom: 1.552
Symmetry: I4/mmm



[11]
Below is a geometry-optimized GdDy5 structure, with properties calculated at the PBE level.

a b c (Å): 5.020 5.015 7.934
angles (deg): 108.42 90.00 90.00
Site moments in Bohr magnetons follow the coordinates.
Fractional coordinates of all 6 atoms:
Gd  0.000  0.000  0.000  7.19
Dy  0.000  0.668  0.335  -0.05
Dy  0.000  0.332  0.665  -0.05
Dy  0.500  0.500  0.000  -0.01
Dy  0.500  0.167  0.334  -0.03
Dy  0.500  0.833  0.666  -0.03

Output
Total energy, eV/atom: -6.166
Fermi-level density of states, states/eV per atom: 1.403
Symmetry: Cmmm



[12]
Below is a geometry-optimized GdDy3 structure, with properties calculated at the PBE level.

a b c (Å): 3.613 5.684 6.262
angles (deg): 90.00 90.00 90.00
Site moments in Bohr magnetons follow the coordinates.
Fractional coordinates of all 4 atoms:
Gd  0.000  0.000  0.999  7.22
Dy  0.000  0.500  0.334  0.03
Dy  0.500  0.000  0.501  0.11
Dy  0.500  0.500  0.833  0.06

Output
Total energy, eV/atom: -6.964
Fermi-level density of states, states/eV per atom: 1.943
Symmetry: Pmm2